{
  "formula": "Np2CrPd9",
  "functional": "PBE",
  "state": "relaxed",
  "sg": "P4/mmm",
  "formation_energy_kcal_per_mol_atoms": -7.3,
  "dos_ef_per_ev_cell": 29.4,
  "total_magnetization_mub_per_atom": 0.7901,
  "dft_energy_ev_per_cell": -86.0,
  "cell": [[4.082, 0.000, 0.000], [0.000, 4.082, 0.000], [0.000, 0.000, 12.108]],
  "species": ["Np", "Np", "Cr", "Pd", "Pd", "Pd", "Pd", "Pd", "Pd", "Pd", "Pd", "Pd"],
  "frac_coords": [[0.000, 0.000, 0.176], [0.000, 0.000, 0.824], [0.000, 0.000, 0.500], [0.000, 0.500, 0.000], [0.000, 0.500, 0.342], [0.000, 0.500, 0.658], [0.500, 0.000, 0.000], [0.500, 0.000, 0.342], [0.500, 0.000, 0.658], [0.500, 0.500, 0.171], [0.500, 0.500, 0.500], [0.500, 0.500, 0.829]]
}